1.
Density functional theory data (PBE) for a geometry-optimized InTeOs2 structure.

The space group is Pmm2 (No. 25) and the conventional cell measures 2.909, 3.852 and 7.472 Å, with angles of 90.00, 90.00 and 90.00 degrees. The asymmetric unit holds In at (0.000, 0.000, 0.000), Te at (0.500, 0.500, 0.599), Os at (0.000, 0.000, 0.384) and Os at (0.500, 0.500, 0.230).

The energy above the most stable polymorph in this dataset is 0.64 eV per formula unit. For the total moment, the calculation gives 0.0 μB per cell. The value obtained for the energy is -0.4799 Ry/atom. As for the crystal system: orthorhombic. Its volume is 83.7 Å³ per cell. Its energy relative to the elements, uncorrected is 0.556 eV per atom.



2.
Density functional theory data (PBE) for a geometry-optimized Sc2SbAu structure.

The space group is I-42d (No. 122) and the conventional cell measures 7.578, 7.578 and 6.625 Å, with angles of 90.00, 90.00 and 90.00 degrees. The asymmetric unit holds Sc at (0.231, 0.250, 0.125), Sb at (0.000, 0.000, 0.500) and Au at (0.000, 0.000, 0.000).

For the total moment, the calculation gives 0.0 μB per cell. The value obtained for the energy is -0.4059 Ry/atom. As for the crystal system: tetragonal. Its volume is 380.4 Å³ per cell. Its energy relative to the elements, uncorrected is -0.507 eV per atom.



3.
Density functional theory data (PBE) for a geometry-optimized NpMnTlCl6 structure.

The space group is P-31c (No. 163) and the conventional cell measures 6.9473, 6.9473 and 13.9346 Å, with angles of 90.00, 90.00 and 120.00 degrees. The asymmetric unit holds Np at (0.3333, 0.6667, 0.2500), Mn at (0.3333, 0.6667, 0.7500), Tl at (0.0000, 0.0000, 0.0000) and Cl at (0.0210, 0.3818, 0.6438).

For the total moment, the calculation gives 18.0 μB per cell. The value obtained for the energy is -0.3901 Ry/atom. As for the crystal system: trigonal. Its volume is 582.5 Å³ per cell. Its energy relative to the elements, uncorrected is -1.357 eV per atom.



4.
Density functional theory data (PBE) for a geometry-optimized Er2PaNbC4 structure.

The space group is Imma (No. 74) and the conventional cell measures 6.860, 6.973 and 9.801 Å, with angles of 90.00, 90.00 and 90.00 degrees. The asymmetric unit holds Er at (0.000, 0.000, 0.000), Er at (0.250, 0.250, 0.250), Pa at (0.000, 0.000, 0.500), Nb at (0.250, 0.250, 0.750), C at (0.000, 0.021, 0.747) and C at (0.239, 0.250, 0.516).

For the total moment, the calculation gives 0.0 μB per cell. The value obtained for the energy is -0.6337 Ry/atom. As for the crystal system: orthorhombic. Its volume is 468.9 Å³ per cell. The calculation puts the formation energy at -0.424 eV per atom.



5.
Density functional theory data (PBE) for a geometry-optimized RbZn4Ag3Br12 structure.

The space group is R32 (No. 155, hexagonal axes) and the conventional cell measures 14.8343, 14.8343 and 10.9483 Å, with angles of 90.00, 90.00 and 120.00 degrees. The asymmetric unit holds Rb at (0.0000, 0.0000, 0.0000), Zn at (0.0000, 0.0000, 0.5000), Zn at (0.0000, 0.4372, 0.5000), Ag at (0.0000, 0.5560, 0.0000), Br at (0.0000, 0.5961, 0.5000), Br at (0.0000, 0.8412, 0.5000) and Br at (0.0527, 0.2250, 0.1702).

For the total moment, the calculation gives 0.0 μB per cell. The value obtained for the energy is -0.1815 Ry/atom. As for the crystal system: trigonal. Its volume is 2086.5 Å³ per cell. Its energy relative to the elements, uncorrected is -0.735 eV per atom.



6.
Density functional theory data (PBE) for a geometry-optimized Y3Ir structure.

The space group is Pm-3m (No. 221) and the conventional cell measures 5.457, 5.457 and 5.457 Å, with angles of 90.00, 90.00 and 90.00 degrees. The asymmetric unit holds Y at (0.000, 0.000, 0.500) and Ir at (0.000, 0.000, 0.000).

For the total moment, the calculation gives 0.0 μB per cell. The value obtained for the energy is -0.5257 Ry/atom. As for the crystal system: cubic. Its volume is 162.5 Å³ per cell. The calculation puts the formation energy at -0.089 eV per atom.



7.
Density functional theory data (PBE) for a geometry-optimized AlCuW structure.

The space group is P-3m1 (No. 164) and the conventional cell measures 2.7924, 2.7924 and 13.2461 Å, with angles of 90.00, 90.00 and 120.00 degrees. The asymmetric unit holds Al at (0.3333, 0.6667, 0.2712), Cu at (0.3333, 0.6667, 0.5762) and W at (0.0000, 0.0000, 0.0972).

The energy above the most stable polymorph in this dataset is 0.38 eV per formula unit. For the total moment, the calculation gives 0.0 μB per cell. The value obtained for the energy is -0.4956 Ry/atom. As for the crystal system: trigonal. Its volume is 89.4 Å³ per cell. The calculation puts the formation energy at 0.187 eV per atom.



8.
Density functional theory data (PBE) for a geometry-optimized CeU2NbN4 structure.

The space group is Cmcm (No. 63) and the conventional cell measures 3.361, 11.915 and 11.699 Å, with angles of 90.00, 90.00 and 90.00 degrees. The asymmetric unit holds Ce at (0.000, 0.113, 0.250), U at (0.000, 0.369, 0.047), Nb at (0.000, 0.151, 0.750), N at (0.000, 0.000, 0.000), N at (0.000, 0.273, 0.615) and N at (0.000, 0.464, 0.250).

For the total moment, the calculation gives 7.0 μB per cell. The value obtained for the energy is -0.7427 Ry/atom. As for the crystal system: orthorhombic. Its volume is 468.5 Å³ per cell. Its energy relative to the elements, uncorrected is -1.119 eV per atom.



9.
Density functional theory data (PBE) for a geometry-optimized TlCuSb2 structure.

The space group is R3m (No. 160, hexagonal axes) and the conventional cell measures 3.4791, 3.4791 and 28.2122 Å, with angles of 90.00, 90.00 and 120.00 degrees. The asymmetric unit holds Tl at (0.0000, 0.0000, 0.0000), Cu at (0.0000, 0.0000, 0.2603), Sb at (0.0000, 0.0000, 0.5317) and Sb at (0.0000, 0.0000, 0.7658).

The energy above the most stable polymorph in this dataset is 0.74 eV per formula unit. For the total moment, the calculation gives 0.0 μB per cell. The value obtained for the energy is -0.2525 Ry/atom. As for the crystal system: trigonal. Its volume is 295.7 Å³ per cell. Its energy relative to the elements, uncorrected is 0.241 eV per atom.



10.
Density functional theory data (PBE) for a geometry-optimized PaNi3As structure.

The space group is Cmmm (No. 65) and the conventional cell measures 3.976, 21.727 and 3.711 Å, with angles of 90.00, 90.00 and 90.00 degrees. The asymmetric unit holds Pa at (0.000, 0.171, 0.000), Ni at (0.000, 0.055, 0.500), Ni at (0.000, 0.280, 0.500), Ni at (0.000, 0.448, 0.000) and As at (0.000, 0.388, 0.500).

For the total moment, the calculation gives 0.0 μB per cell. The value obtained for the energy is -0.4840 Ry/atom. As for the crystal system: orthorhombic. Its volume is 320.5 Å³ per cell. The calculation puts the formation energy at -0.287 eV per atom.



11.
Density functional theory data (PBE) for a geometry-optimized BaY2Si2 structure.

The space group is I4/mmm (No. 139) and the conventional cell measures 4.844, 4.844 and 12.278 Å, with angles of 90.00, 90.00 and 90.00 degrees. The asymmetric unit holds Ba at (0.000, 0.000, 0.000), Y at (0.000, 0.500, 0.250) and Si at (0.000, 0.000, 0.393).

The energy above the most stable polymorph in this dataset is 0.00 eV per formula unit. For the total moment, the calculation gives 0.0 μB per cell. The value obtained for the energy is -0.4096 Ry/atom. As for the crystal system: tetragonal. Its volume is 288.2 Å³ per cell. Its energy relative to the elements, uncorrected is -0.434 eV per atom.



12.
Density functional theory data (PBE) for a geometry-optimized Be3CdFe structure.

The space group is Pm-3m (No. 221) and the conventional cell measures 4.318, 4.318 and 4.318 Å, with angles of 90.00, 90.00 and 90.00 degrees. The asymmetric unit holds Be at (0.000, 0.000, 0.500), Cd at (0.000, 0.000, 0.000) and Fe at (0.500, 0.500, 0.500).

The energy above the most stable polymorph in this dataset is 3.62 eV per formula unit. For the total moment, the calculation gives 3.1 μB per cell. The value obtained for the energy is -0.1996 Ry/atom. As for the crystal system: cubic. Its volume is 80.5 Å³ per cell. The calculation puts the formation energy at 1.396 eV per atom.



Question: Number 7 is which compound?
Answer: AlCuW